(1)
# PBE-GGA MnTlZn2, optimized geometry
data_MnTlZn2
_chemical_formula_sum 'Mn1 Tl1 Zn2'
_cell_length_a 2.982
_cell_length_b 4.218
_cell_length_c 6.041
_cell_angle_alpha 90.00
_cell_angle_beta 97.09
_cell_angle_gamma 90.00
_symmetry_space_group_name_H-M 'P 1'
_symmetry_Int_Tables_number 1
_symmetry_space_group_name_Hall 'P 1'
loop_
_atom_site_label
_atom_site_fract_x
_atom_site_fract_y
_atom_site_fract_z
Mn1 0.000 0.000 0.000
Tl1 0.810 0.500 0.350
Zn1 0.399 0.000 0.620
Zn2 0.468 0.500 0.878
# Energy relative to the elements (eV/atom): 0.29
# Calculated volume (A^3/atom): 18.85
# D(E_F) (states/eV/f.u.): 2.04
# Energy relative to the lowest polymorph listed for this composition (kJ/mol of formula units): 31
# ρ (g/cm3): 8.6

***

(2)
# PBE-GGA Li5Tl2CdAg2, optimized geometry
data_Li5Tl2CdAg2
_chemical_formula_sum 'Li10 Tl4 Cd2 Ag4'
_cell_length_a 10.491
_cell_length_b 10.491
_cell_length_c 3.558
_cell_angle_alpha 90.00
_cell_angle_beta 90.00
_cell_angle_gamma 90.00
_symmetry_space_group_name_H-M 'P 1'
_symmetry_Int_Tables_number 1
_symmetry_space_group_name_Hall 'P 1'
loop_
_atom_site_label
_atom_site_fract_x
_atom_site_fract_y
_atom_site_fract_z
Li1 0.000 0.500 0.000
Li2 0.063 0.198 0.000
Li3 0.198 0.937 0.000
Li4 0.302 0.437 0.000
Li5 0.437 0.698 0.000
Li6 0.500 0.000 0.000
Li7 0.563 0.302 0.000
Li8 0.698 0.563 0.000
Li9 0.802 0.063 0.000
Li10 0.937 0.802 0.000
Tl1 0.171 0.671 0.500
Tl2 0.329 0.171 0.500
Tl3 0.671 0.829 0.500
Tl4 0.829 0.329 0.500
Cd1 0.000 0.000 0.500
Cd2 0.500 0.500 0.500
Ag1 0.130 0.370 0.500
Ag2 0.370 0.870 0.500
Ag3 0.630 0.130 0.500
Ag4 0.870 0.630 0.500
# Energy relative to the elements (eV/atom): -0.14
# Calculated volume (A^3/atom): 19.58
# D(E_F) (states/eV/f.u.): 3.26
# ρ (g/cm3): 6.5